Entry 1:
First-principles (PBE) data for crystalline FeReGe at its relaxed geometry, as listed in the Alexandria database. Values from VASP.

Cell and atoms, written as Quantum ESPRESSO input:
```
&SYSTEM
  ibrav = 0, nat = 6, ntyp = 3
/
ATOMIC_SPECIES
Fe 55.84 Fe.upf
Re 186.21 Re.upf
Ge 72.64 Ge.upf
CELL_PARAMETERS angstrom
2.540 -3.307 0.000
2.540 3.307 0.000
-1.334 0.000 5.213
ATOMIC_POSITIONS crystal
Fe 0.244 0.756 0.000
Fe 0.756 0.244 0.000
Re 0.169 0.169 0.721
Re 0.831 0.831 0.279
Ge 0.328 0.328 0.270
Ge 0.672 0.672 0.730
```

Properties
Symmetry: C2/m (12)
Crystal system: monoclinic
Excess energy over the best structure of this formula in the dataset (meV/atom): 168
Total DFT energy (no corrections) (eV/atom): -8.244
Energy of formation (eV per atom): 0.2652



Entry 2:
First-principles (PBE) data for crystalline CsTl3Ge at its relaxed geometry, as listed in the Alexandria database. Values from VASP.

Cell and atoms, written as Quantum ESPRESSO input:
```
&SYSTEM
  ibrav = 0, nat = 5, ntyp = 3
/
ATOMIC_SPECIES
Cs 132.91 Cs.upf
Tl 204.38 Tl.upf
Ge 72.64 Ge.upf
CELL_PARAMETERS angstrom
5.823 0.000 0.000
0.000 5.823 0.000
0.000 0.000 5.823
ATOMIC_POSITIONS crystal
Cs 0.000 0.000 0.000
Tl 0.000 0.500 0.500
Tl 0.500 0.000 0.500
Tl 0.500 0.500 0.000
Ge 0.500 0.500 0.500
```

Properties
Symmetry: Pm-3m (221)
Crystal system: cubic
Excess energy over the best structure of this formula in the dataset (meV/atom): 131
Total DFT energy (no corrections) (eV/atom): -2.383
Energy of formation (eV per atom): 0.1310



Entry 3:
First-principles (PBE) data for crystalline Sb2POs at its relaxed geometry, as listed in the Alexandria database. Values from VASP.

Cell and atoms, written as Quantum ESPRESSO input:
```
&SYSTEM
  ibrav = 0, nat = 8, ntyp = 3
/
ATOMIC_SPECIES
Sb 121.76 Sb.upf
P 30.97 P.upf
Os 190.23 Os.upf
CELL_PARAMETERS angstrom
-3.034 3.034 5.839
3.034 -3.034 5.839
3.034 3.034 -5.839
ATOMIC_POSITIONS crystal
Sb 0.109 0.625 0.984
Sb 0.375 0.359 0.484
Sb 0.641 0.125 0.016
Sb 0.875 0.891 0.516
P 0.250 0.750 0.500
P 0.500 0.500 0.000
Os 0.000 0.000 0.000
Os 0.750 0.250 0.500
```

Properties
Symmetry: I-42d (122)
Crystal system: tetragonal
Uncorrected formation energy (meV/atom): 554
Total DFT energy (no corrections) (eV/atom): -5.667



Look up the total DFT energy (no corrections) of the second one. -2.383 eV/atom



The lowest total DFT energy (no corrections) belongs to which entry? FeReGe



The lowest total DFT energy (no corrections) belongs to which entry? FeReGe